A plane-wave DFT calculation with PBE was carried out for ZnIn2Co after structural relaxation.

Crystal system = trigonal
Final energy = -12.93 eV for the cell shown
DOS(E_F) = 2.336 states/eV per cell
Energy of formation from the pure elements = 0.23 eV per atom

a = 8.789 Å, b = 8.789 Å, c = 8.789 Å
α = 20.74°, β = 20.74°, γ = 20.74°
Each line ends with the local moment (μB).
Positions (direct):
Co 0.750 0.750 0.750  1.02
In 0.007 0.007 0.007  -0.03
In 0.493 0.493 0.493  -0.03
Zn 0.250 0.250 0.250  0.00